{"formula": "La8C3O4", "functional": "GGA-PBE", "state": "relaxed", "lattice_angstrom": [[6.540, 0.000, 3.527], [2.319, 6.115, 3.527], [-0.006, -0.004, 7.837]], "species": ["La", "La", "La", "La", "La", "La", "La", "La", "C", "C", "C", "O", "O", "O", "O"], "frac_coords": [[0.241, 0.241, 0.276], [0.244, 0.744, 0.268], [0.744, 0.744, 0.268], [0.744, 0.244, 0.268], [0.759, 0.759, 0.724], [0.756, 0.256, 0.732], [0.256, 0.256, 0.732], [0.256, 0.756, 0.732], [0.500, 0.000, 0.500], [0.000, 0.000, 0.500], [0.000, 0.500, 0.500], [0.000, 0.000, 0.000], [0.360, 0.360, 0.920], [0.500, 0.500, 0.500], [0.640, 0.640, 0.080]], "raw_formation_energy_kj_per_mol_fu": -2151, "spacegroup": "R-3m, No. 166", "energy_ev_per_atom": -7.28}